(1)
# VSb2AsI | the Alexandria database | PBE-GGA | optimized geometry
data_VSb2AsI
_chemical_formula_sum 'V1 Sb2 As1 I1'
_space_group_name_H-M_alt 'P 4/m m m'
_space_group_IT_number 123
_space_group_name_Hall '-P 4 2'
_cell_length_a 5.2513
_cell_length_b 5.2513
_cell_length_c 5.1476
_cell_angle_alpha 90.00
_cell_angle_beta 90.00
_cell_angle_gamma 90.00
loop_
_atom_site_label
_atom_site_type_symbol
_atom_site_fract_x
_atom_site_fract_y
_atom_site_fract_z
V1 V 0.0000 0.0000 0.0000
Sb1 Sb 0.0000 0.5000 0.0000
As1 As 0.5000 0.5000 0.5000
I1 I 0.0000 0.0000 0.5000
# Formation energy from raw total energies, eV per atom: 0.606

(2)
# Ce16Ru9 | the Alexandria database | PBE-GGA | optimized geometry
data_Ce16Ru9
_chemical_formula_sum 'Ce96 Ru54'
_space_group_name_H-M_alt 'R -3 m'
_space_group_IT_number 166
_space_group_name_Hall '-R 3 2"'
_cell_length_a 13.4730
_cell_length_b 13.4730
_cell_length_c 22.5024
_cell_angle_alpha 90.00
_cell_angle_beta 90.00
_cell_angle_gamma 120.00
loop_
_atom_site_label
_atom_site_type_symbol
_atom_site_fract_x
_atom_site_fract_y
_atom_site_fract_z
Ce1 Ce 0.0000 0.0000 0.0000
Ce2 Ce 0.0000 0.0000 0.5000
Ce3 Ce 0.0000 0.2809 0.0000
Ce4 Ce 0.0000 0.2934 0.5000
Ce5 Ce 0.0843 0.1686 0.1192
Ce6 Ce 0.0906 0.1813 0.3777
Ce7 Ce 0.0915 0.1829 0.7510
Ru1 Ru 0.0786 0.5393 0.9162
Ru2 Ru 0.0791 0.5395 0.2697
Ru3 Ru 0.0822 0.5411 0.5534
# E, eV per formula unit: -186.62

(3)
# ScCdBr4 | the Alexandria database | PBE-GGA | optimized geometry
data_ScCdBr4
_chemical_formula_sum 'Sc4 Cd4 Br16'
_space_group_name_H-M_alt 'F -4 3 m'
_space_group_IT_number 216
_space_group_name_Hall 'F -4 2 3'
_cell_length_a 8.8735
_cell_length_b 8.8735
_cell_length_c 8.8735
_cell_angle_alpha 90.00
_cell_angle_beta 90.00
_cell_angle_gamma 90.00
loop_
_atom_site_label
_atom_site_type_symbol
_atom_site_fract_x
_atom_site_fract_y
_atom_site_fract_z
Sc1 Sc 0.0000 0.0000 0.0000
Cd1 Cd 0.2500 0.2500 0.2500
Br1 Br 0.1255 0.1255 0.6255
# Formation energy from raw total energies, eV per atom: 0.228

(4)
# Ho3Si | the Alexandria database | PBE-GGA | optimized geometry
data_Ho3Si
_chemical_formula_sum 'Ho6 Si2'
_space_group_name_H-M_alt 'I m m m'
_space_group_IT_number 71
_space_group_name_Hall '-I 2 2'
_cell_length_a 3.8274
_cell_length_b 4.9854
_cell_length_c 10.9303
_cell_angle_alpha 90.00
_cell_angle_beta 90.00
_cell_angle_gamma 90.00
loop_
_atom_site_label
_atom_site_type_symbol
_atom_site_fract_x
_atom_site_fract_y
_atom_site_fract_z
Ho1 Ho 0.0000 0.0000 0.0000
Ho2 Ho 0.0000 0.5000 0.2059
Si1 Si 0.0000 0.0000 0.5000
# Formation energy from raw total energies, eV per atom: -0.308

Number 1: M_tot 0.41 μB per atom. Number 2: M_tot 0.14 μB per atom. Number 3: M_tot 0.14 μB per atom. Number 4: M_tot 0.00 μB per atom.